The following is a PBE-GGA calculation of a relaxed RbPdO crystal, from Alexandria.

```
RbPdO
1.0
-1.776 1.237 -2.972
-0.154 -5.432 -2.169
-5.789 1.658 4.150
Rb Pd O
2 2 2
direct
0.750 0.337 0.675
0.250 0.663 0.325
0.750 0.928 0.857
0.250 0.072 0.143
0.750 0.136 0.272
0.250 0.864 0.728
```

Computed properties:
- symmetry = Cmcm, No. 63
- E (eV/atom) = -4.229